BaTlAu3: optimized geometry, PBE.

abc: 5.381 5.381 5.381
angles: 90.00 90.00 90.00
Fractional coordinates of all 5 atoms:
Ba: 0.500 0.500 0.500
Au: 0.000 0.500 0.000
Tl: 0.000 0.000 0.000
Au: 0.000 0.000 0.500
Au: 0.500 0.000 0.000

Values from the calculation:
total magnetization: 0.00 μB per atom
E_form: -0.18 eV/atom
E above lowest polymorph: 0.278 eV/atom
energy: -3.008 eV/atom
crystal system: cubic
V: 31.2 Å³/atom

Ba2Tl2Au15: optimized geometry, PBE.

abc: 7.516 7.516 7.516
angles: 83.85 83.85 83.85
Fractional coordinates of all 19 atoms:
Au: 0.000 0.500 0.000
Au: 0.687 0.000 0.313
Au: 0.349 0.836 0.349
Au: 0.500 0.000 0.000
Ba: 0.652 0.652 0.652
Au: 0.164 0.651 0.651
Au: 0.000 0.000 0.500
Au: 0.313 0.687 0.000
Au: 0.836 0.349 0.349
Ba: 0.348 0.348 0.348
Au: 0.000 0.687 0.313
Au: 0.000 0.313 0.687
Tl: 0.102 0.102 0.102
Au: 0.349 0.349 0.836
Au: 0.687 0.313 0.000
Tl: 0.898 0.898 0.898
Au: 0.651 0.651 0.164
Au: 0.313 0.000 0.687
Au: 0.651 0.164 0.651

Values from the calculation:
total magnetization: 0.00 μB per atom
E_form: -0.26 eV/atom
energy: -3.302 eV/atom
crystal system: trigonal
V: 22.0 Å³/atom

Q: Which formula does entry 2 have?
A: Ba2Tl2Au15